1.
The following is a DFT calculation (PBE-GGA) of a geometry-optimized Th6Os2PtSe3 structure.

The structure in POSCAR format:
```
Th6Os2PtSe3
1.0
4.148 0.000 0.000
0.000 8.774 -0.014
-2.074 -2.871 9.016
Th Os Pt Se
6 2 1 3
Direct
0.337 0.892 0.674 Th
0.676 0.564 0.351 Th
0.663 0.108 0.326 Th
0.010 0.240 0.021 Th
0.990 0.760 0.979 Th
0.324 0.436 0.649 Th
0.834 0.668 0.667 Os
0.166 0.332 0.333 Os
0.500 0.000 0.000 Pt
0.500 0.500 0.000 Se
0.835 0.165 0.670 Se
0.165 0.835 0.330 Se
```

formation energy without anion corrections = -1.139 eV per atom
uncorrected energy = -8.095 eV per atom
spin magnetization = 0.0 Bohr magnetons per cell


2.
The following is a DFT calculation (PBE-GGA) of a geometry-optimized Th6OsPt2Se3 structure.

The structure in POSCAR format:
```
Th6OsPt2Se3
1.0
4.160 0.000 0.000
0.000 8.757 0.000
-2.080 -2.849 9.013
Th Os Pt Se
6 1 2 3
Direct
0.344 0.908 0.688 Th
0.671 0.572 0.342 Th
0.656 0.092 0.312 Th
0.004 0.228 0.008 Th
0.996 0.772 0.992 Th
0.329 0.428 0.658 Th
0.500 0.000 0.000 Os
0.833 0.664 0.665 Pt
0.167 0.336 0.335 Pt
0.500 0.500 0.000 Se
0.831 0.167 0.662 Se
0.169 0.833 0.338 Se
```

formation energy without anion corrections = -1.254 eV per atom
uncorrected energy = -7.778 eV per atom
spin magnetization = 0.0 Bohr magnetons per cell


3.
The following is a DFT calculation (PBE-GGA) of a geometry-optimized Th4Os2PtSe structure.

The structure in POSCAR format:
```
Th4Os2PtSe
1.0
-3.637 -1.976 0.138
3.464 -6.374 -0.002
-0.961 2.257 6.989
Th Os Pt Se
4 2 1 1
Direct
0.500 0.265 0.279 Th
0.500 0.735 0.721 Th
0.000 0.247 0.726 Th
0.000 0.753 0.274 Th
0.500 0.000 0.500 Os
0.000 0.500 0.500 Os
0.500 0.500 0.000 Pt
0.000 0.000 0.000 Se
```

formation energy without anion corrections = -0.846 eV per atom
uncorrected energy = -8.554 eV per atom
spin magnetization = 0.0 Bohr magnetons per cell


4.
The following is a DFT calculation (PBE-GGA) of a geometry-optimized Zr2OsPtSe structure.

The structure in POSCAR format:
```
Zr2OsPtSe
1.0
5.080 0.000 0.000
0.000 4.763 0.000
0.000 0.000 5.080
Se Os Zr Pt
1 1 2 1
Direct
0.500 0.500 0.500 Se
0.000 0.000 0.000 Os
0.000 0.000 0.500 Zr
0.500 0.000 0.000 Zr
0.000 0.500 0.000 Pt
```

formation energy without anion corrections = 0.367 eV per atom
uncorrected energy = -7.204 eV per atom
spin magnetization = 0.0 Bohr magnetons per cell


5.
The following is a DFT calculation (PBE-GGA) of a geometry-optimized Si2OsPt2 structure.

The structure in POSCAR format:
```
Si2OsPt2
1.0
-0.937 6.361 -1.429
-1.672 1.161 6.264
3.169 0.631 0.729
Si Os Pt
4 2 4
Direct
0.353 0.853 0.000 Si
0.853 0.647 0.000 Si
0.647 0.147 0.000 Si
0.147 0.353 0.000 Si
0.000 0.000 0.000 Os
0.500 0.500 0.000 Os
0.151 0.651 0.500 Pt
0.651 0.849 0.500 Pt
0.849 0.349 0.500 Pt
0.349 0.151 0.500 Pt
```

ΔE to the lowest computed polymorph = 0 meV per atom
formation energy without anion corrections = -0.182 eV per atom
uncorrected energy = -7.014 eV per atom
spin magnetization = 0.0 Bohr magnetons per cell


6.
The following is a DFT calculation (PBE-GGA) of a geometry-optimized Si2OsPt2 structure.

The structure in POSCAR format:
```
Si2OsPt2
1.0
-1.842 1.842 5.653
1.842 -1.842 5.653
1.842 1.842 -5.653
Si Os Pt
2 1 2
Direct
0.250 0.750 0.500 Si
0.750 0.250 0.500 Si
0.000 0.000 0.000 Os
0.616 0.616 0.000 Pt
0.384 0.384 0.000 Pt
```

ΔE to the lowest computed polymorph = 265 meV per atom
formation energy without anion corrections = 0.083 eV per atom
uncorrected energy = -6.749 eV per atom
spin magnetization = 1.2 Bohr magnetons per cell


7.
The following is a DFT calculation (PBE-GGA) of a geometry-optimized TaSiOs2Pt structure.

The structure in POSCAR format:
```
TaSiOs2Pt
1.0
-3.715 1.063 -2.779
-0.213 -4.664 -1.499
-2.968 -1.015 3.580
Si Os Pt Ta
1 2 1 1
Direct
0.500 0.500 0.500 Si
0.000 0.000 0.500 Os
0.500 0.000 0.000 Os
0.000 0.500 0.000 Pt
0.000 0.000 0.000 Ta
```

formation energy without anion corrections = 1.974 eV per atom
uncorrected energy = -7.181 eV per atom
spin magnetization = 0.8 Bohr magnetons per cell


8.
The following is a DFT calculation (PBE-GGA) of a geometry-optimized SiTcOsPt2 structure.

The structure in POSCAR format:
```
SiTcOsPt2
1.0
4.831 0.000 0.000
0.000 4.614 0.000
0.000 0.000 4.831
Si Os Tc Pt
1 1 1 2
Direct
0.500 0.500 0.500 Si
0.000 0.500 0.000 Os
0.000 0.000 0.000 Tc
0.000 0.000 0.500 Pt
0.500 0.000 0.000 Pt
```

formation energy without anion corrections = 1.673 eV per atom
uncorrected energy = -6.147 eV per atom
spin magnetization = 0.7 Bohr magnetons per cell


9.
The following is a DFT calculation (PBE-GGA) of a geometry-optimized U2Si4Os3Pt structure.

The structure in POSCAR format:
```
U2Si4Os3Pt
1.0
-1.941 -0.083 3.577
2.861 -2.480 1.495
5.305 7.970 3.064
U Si Os Pt
2 4 3 1
Direct
0.500 0.000 0.240 U
0.000 0.500 0.760 U
0.500 0.500 0.000 Si
0.000 0.000 0.000 Si
0.500 0.000 0.632 Si
0.000 0.500 0.368 Si
0.000 0.000 0.500 Os
0.500 0.000 0.867 Os
0.000 0.500 0.133 Os
0.500 0.500 0.500 Pt
```

formation energy without anion corrections = -0.510 eV per atom
uncorrected energy = -8.910 eV per atom
spin magnetization = 1.0 Bohr magnetons per cell


10.
The following is a DFT calculation (PBE-GGA) of a geometry-optimized Sm4OsPt structure.

The structure in POSCAR format:
```
Sm4OsPt
1.0
-5.321 -3.433 0.940
6.082 -3.788 3.700
-1.194 7.333 3.136
Sm Os Pt
8 2 2
Direct
0.776 0.636 0.766 Sm
0.094 0.950 0.300 Sm
0.724 0.234 0.364 Sm
0.406 0.700 0.050 Sm
0.594 0.300 0.950 Sm
0.276 0.766 0.636 Sm
0.906 0.050 0.700 Sm
0.224 0.364 0.234 Sm
0.250 0.003 0.997 Os
0.750 0.997 0.003 Os
0.750 0.636 0.364 Pt
0.250 0.364 0.636 Pt
```

energy of formation from the pure elements = -3.00 eV per formula unit
uncorrected energy = -6.525 eV per atom
spin magnetization = 0.0 Bohr magnetons per cell


11.
The following is a DFT calculation (PBE-GGA) of a geometry-optimized Sm8OsPt2 structure.

The structure in POSCAR format:
```
Sm8OsPt2
1.0
-2.216 -3.671 4.629
-5.523 -0.683 -5.303
6.453 -3.692 -1.956
Sm Os Pt
8 1 2
Direct
0.587 0.344 0.085 Sm
0.587 0.085 0.344 Sm
0.173 0.354 0.354 Sm
0.987 0.201 0.798 Sm
0.987 0.798 0.201 Sm
0.804 0.651 0.651 Sm
0.362 0.921 0.662 Sm
0.362 0.662 0.921 Sm
0.177 0.004 0.004 Os
0.487 0.691 0.322 Pt
0.487 0.322 0.691 Pt
```

energy of formation from the pure elements = -4.31 eV per formula unit
uncorrected energy = -5.943 eV per atom
spin magnetization = 0.0 Bohr magnetons per cell


12.
The following is a DFT calculation (PBE-GGA) of a geometry-optimized Sm6OsPt2 structure.

The structure in POSCAR format:
```
Sm6OsPt2
1.0
-4.238 5.194 0.878
-4.311 -4.250 4.333
5.000 3.418 8.328
Sm Os Pt
12 2 4
Direct
0.159 0.046 0.250 Sm
0.175 0.321 0.575 Sm
0.168 0.320 0.931 Sm
0.332 0.820 0.569 Sm
0.325 0.821 0.925 Sm
0.341 0.546 0.250 Sm
0.841 0.954 0.750 Sm
0.825 0.679 0.425 Sm
0.832 0.680 0.069 Sm
0.668 0.180 0.431 Sm
0.675 0.179 0.075 Sm
0.659 0.454 0.750 Sm
0.500 0.500 0.000 Os
0.000 0.000 0.500 Os
0.055 0.615 0.763 Pt
0.445 0.115 0.737 Pt
0.555 0.885 0.263 Pt
0.945 0.385 0.237 Pt
```

energy of formation from the pure elements = -5.19 eV per formula unit
uncorrected energy = -6.313 eV per atom
spin magnetization = 0.0 Bohr magnetons per cell


13.
The following is a DFT calculation (PBE-GGA) of a geometry-optimized TbSmOsPt structure.

The structure in POSCAR format:
```
TbSmOsPt
1.0
-1.473 -1.912 4.305
2.944 -3.108 2.456
2.150 1.439 4.203
Tb Os Sm Pt
1 1 1 1
Direct
0.000 0.000 0.000 Tb
0.250 0.250 0.250 Os
0.500 0.500 0.500 Sm
0.750 0.750 0.750 Pt
```

energy of formation from the pure elements = -2.24 eV per formula unit
uncorrected energy = -7.215 eV per atom
spin magnetization = 0.0 Bohr magnetons per cell


14.
The following is a DFT calculation (PBE-GGA) of a geometry-optimized SmYOsPt structure.

The structure in POSCAR format:
```
SmYOsPt
1.0
4.931 0.000 0.000
2.465 4.270 0.000
2.465 1.423 4.026
Y Os Sm Pt
1 1 1 1
Direct
0.500 0.500 0.500 Y
0.250 0.250 0.250 Os
0.000 0.000 0.000 Sm
0.750 0.750 0.750 Pt
```

energy of formation from the pure elements = -2.24 eV per formula unit
uncorrected energy = -7.673 eV per atom
spin magnetization = 0.0 Bohr magnetons per cell